1.
# LiInAg2 (PBEsol, relaxed)
data_LiInAg2
_cell_length_a 4.593
_cell_length_b 4.593
_cell_length_c 4.593
_cell_angle_alpha 60.00
_cell_angle_beta 60.00
_cell_angle_gamma 60.00
_symmetry_space_group_name_H-M 'P 1'
_symmetry_Int_Tables_number 1
_symmetry_space_group_name_Hall 'P 1'
loop_
_atom_site_label
_atom_site_fract_x
_atom_site_fract_y
_atom_site_fract_z
_atom_site_occupancy
Li1 0.750 0.750 0.750 1
Ag1 0.250 0.250 0.250 1
In1 0.500 0.500 0.500 1
Ag2 0.000 0.000 0.000 1
# E_tot = -3.10 eV/atom
# M_tot = 0.0000 μB/atom
# V = 69 Å³/cell
# formation enthalpy at 0 K = -0.21 eV/atom
# SG = F-43m (216)

2.
# LiW3F (PBEsol, relaxed)
data_LiW3F
_cell_length_a 4.200
_cell_length_b 4.200
_cell_length_c 4.200
_cell_angle_alpha 90.00
_cell_angle_beta 90.00
_cell_angle_gamma 90.00
_symmetry_space_group_name_H-M 'P 1'
_symmetry_Int_Tables_number 1
_symmetry_space_group_name_Hall 'P 1'
loop_
_atom_site_label
_atom_site_fract_x
_atom_site_fract_y
_atom_site_fract_z
_atom_site_occupancy
W1 0.000 0.500 0.000 1
F1 0.500 0.500 0.500 1
W2 0.000 0.000 0.500 1
W3 0.500 0.000 0.000 1
Li1 0.000 0.000 0.000 1
# E_tot = -7.02 eV/atom
# M_tot = 0.0000 μB/atom
# ΔE_f (raw) = 2042 meV/atom
# V = 74 Å³/cell
# SG = Pm-3m (221)